No. 1
First-principles (PBE) data for an optimized crystal structure of TbPaPb6, as listed in Alexandria via LeMat-Bulk.

a b c (Å): 4.8359 4.8359 9.7448
angles (deg): 90.00 90.00 90.00
Closest atoms and distances in Å follow each position.
Space group P4/mmm (No. 123)
Asymmetric unit:
Tb1 0.0000 0.0000 0.0000 x1  12 Pb 3.42-3.44
Pa1 0.0000 0.0000 0.5000 x1  12 Pb 3.42
Pb1 0.0000 0.5000 0.2513 x4  8 Pb 3.42-3.44, 2 Pa 3.42, 2 Tb 3.44
Pb2 0.5000 0.5000 0.0000 x1  4 Tb 3.42, 8 Pb 3.44
Pb3 0.5000 0.5000 0.5000 x1  4 Pa 3.42, 8 Pb 3.42

Output
The calculation puts the density of states at the Fermi level at 8.2 states/eV per cell. The formation enthalpy at 0 K is -0.1367 eV/atom. As for the magnetic moment: 0.6 μB/cell.


No. 2
First-principles (PBE) data for an optimized crystal structure of Tb2PaPb, as listed in Alexandria via LeMat-Bulk.

a b c (Å): 3.4463 3.4463 35.6089
angles (deg): 90.00 90.00 120.00
Closest atoms and distances in Å follow each position.
Space group R-3m (No. 166, hexagonal axes)
Asymmetric unit:
Tb1 0.0000 0.0000 0.0903 x6  1 Pb 3.22, 3 Pa 3.37, 6 Tb 3.45
Pa1 0.0000 0.0000 0.5000 x3  6 Tb 3.37, 6 Pa 3.45
Pb1 0.0000 0.0000 0.0000 x3  2 Tb 3.22, 6 Pb 3.45

Output
The distance to the lowest polymorph of the same formula is 18.05 kJ/mol of atoms. The calculation puts the density of states at the Fermi level at 15.3 states/eV per cell. The formation enthalpy at 0 K is 0.1212 eV/atom. As for the magnetic moment: 0.0 μB/cell.


No. 3
First-principles (PBE) data for an optimized crystal structure of Pa2TcPb, as listed in Alexandria via LeMat-Bulk.

a b c (Å): 3.9255 3.9255 24.1055
angles (deg): 90.00 90.00 120.00
Closest atoms and distances in Å follow each position.
Space group R-3m (No. 166, hexagonal axes)
Asymmetric unit:
Pa1 0.0000 0.0000 0.2307 x6  3 Tc 2.74
Tc1 0.0000 0.0000 0.5000 x3  6 Pa 2.74
Pb1 0.0000 0.0000 0.0000 x3  6 Pa 3.36

Output
The distance to the lowest polymorph of the same formula is 18.82 kJ/mol of atoms. The calculation puts the density of states at the Fermi level at 17.5 states/eV per cell. The formation enthalpy at 0 K is 0.0241 eV/atom. As for the magnetic moment: 0.0 μB/cell.


No. 4
First-principles (PBE) data for an optimized crystal structure of Pa2TcPb, as listed in Alexandria via LeMat-Bulk.

a b c (Å): 4.4486 4.4486 4.5158
angles (deg): 90.00 90.00 90.00
Closest atoms and distances in Å follow each position.
Space group P4/mmm (No. 123)
Asymmetric unit:
Pa1 0.0000 0.5000 0.0000 x2  4 Pa 3.15, 4 Pb 3.17, 4 Tc 3.17
Tc1 0.0000 0.0000 0.5000 x1  4 Pb 3.15, 8 Pa 3.17
Pb1 0.5000 0.5000 0.5000 x1  4 Tc 3.15, 8 Pa 3.17

Output
The distance to the lowest polymorph of the same formula is 23.50 kJ/mol of atoms. The calculation puts the density of states at the Fermi level at 6.7 states/eV per cell. The formation enthalpy at 0 K is 0.0726 eV/atom. As for the magnetic moment: 0.0 μB/cell.


No. 5
First-principles (PBE) data for an optimized crystal structure of Pa2TcPb, as listed in Alexandria via LeMat-Bulk.

a b c (Å): 3.2519 3.2519 8.8833
angles (deg): 90.00 90.00 90.00
Closest atoms and distances in Å follow each position.
Space group P4/mmm (No. 123)
Asymmetric unit:
Pa1 0.0000 0.0000 0.2069 x2  4 Tc 2.94, 4 Pa 3.25
Tc1 0.5000 0.5000 0.0000 x1  8 Pa 2.94, 4 Tc 3.25
Pb1 0.5000 0.5000 0.5000 x1  4 Pb 3.25, 8 Pa 3.47

Output
The distance to the lowest polymorph of the same formula is 0.00 kJ/mol of atoms. The calculation puts the density of states at the Fermi level at 4.7 states/eV per cell. The formation enthalpy at 0 K is -0.1710 eV/atom. As for the magnetic moment: 0.0 μB/cell.


No. 6
First-principles (PBE) data for an optimized crystal structure of PaTe4Pb, as listed in Alexandria via LeMat-Bulk.

a b c (Å): 10.2596 12.9511 7.5309
angles (deg): 90.00 125.34 90.00
Closest atoms and distances in Å follow each position.
Space group C2/c (No. 15)
Asymmetric unit:
Pa1 0.0000 0.0032 0.2500 x4  8 Te 3.11-3.23
Te1 0.1395 0.1749 0.1168 x8  2 Pa 3.11-3.23, 2 Pb 3.28-3.41, 2 Te 3.39-3.44
Te2 0.2198 0.4291 0.2765 x8  2 Pa 3.14, 2 Pb 3.32-3.36, 2 Te 3.39-3.44
Pb1 0.0000 0.3717 0.7500 x4  8 Te 3.28-3.41

Output
The calculation puts the density of states at the Fermi level at 19.8 states/eV per cell. As for the magnetic moment: 1.2 μB/cell. The uncorrected energy is -28.7 eV per formula unit.


No. 7
First-principles (PBE) data for an optimized crystal structure of PaTe2Pb, as listed in Alexandria via LeMat-Bulk.

a b c (Å): 4.0406 4.0406 27.2686
angles (deg): 90.00 90.00 120.00
Closest atoms and distances in Å follow each position.
Space group R3m (No. 160, hexagonal axes)
Asymmetric unit:
Pa1 0.0000 0.0000 0.0000 x3  6 Te 3.10
Te1 0.0000 0.0000 0.4083 x3  3 Pa 3.10
Te2 0.0000 0.0000 0.5919 x3  3 Pa 3.10, 3 Pb 3.32
Pb1 0.0000 0.0000 0.8388 x3  6 Te 3.32-3.53

Output
The calculation puts the density of states at the Fermi level at 14.3 states/eV per cell. As for the magnetic moment: 4.4 μB/cell. The uncorrected energy is -21.3 eV per formula unit.


No. 8
First-principles (PBE) data for an optimized crystal structure of PaTe3Pb, as listed in Alexandria via LeMat-Bulk.

a b c (Å): 8.8882 4.2235 8.9318
angles (deg): 90.00 96.23 90.00
Closest atoms and distances in Å follow each position.
Space group P2_1/m (No. 11)
Asymmetric unit:
Pa1 0.2504 0.2500 0.0939 x2  8 Te 3.14-3.36
Te1 0.0124 0.7500 0.1800 x2  3 Pa 3.14-3.19, 1 Pb 3.40, 1 Te 3.46
Te2 0.3689 0.7500 0.8710 x2  3 Pa 3.16-3.36, 2 Pb 3.33
Te3 0.3834 0.7500 0.3446 x2  3 Pb 3.10-3.29, 2 Pa 3.21, 1 Te 3.46
Pb1 0.2674 0.2500 0.5896 x2  6 Te 3.10-3.40

Output
The calculation puts the density of states at the Fermi level at 9.8 states/eV per cell. As for the magnetic moment: 2.0 μB/cell. The uncorrected energy is -25.8 eV per formula unit.


No. 9
First-principles (PBE) data for an optimized crystal structure of Pa2TePb, as listed in Alexandria via LeMat-Bulk.

a b c (Å): 3.6529 3.6529 8.0540
angles (deg): 90.00 90.00 90.00
Closest atoms and distances in Å follow each position.
Space group P4/mmm (No. 123)
Asymmetric unit:
Pa1 0.0000 0.0000 0.2377 x2  4 Te 3.22, 4 Pb 3.34
Te1 0.5000 0.5000 0.0000 x1  8 Pa 3.22
Pb1 0.5000 0.5000 0.5000 x1  8 Pa 3.34, 4 Pb 3.65

Output
The distance to the lowest polymorph of the same formula is 0.00 kJ/mol of atoms. The calculation puts the density of states at the Fermi level at 9.9 states/eV per cell. As for the magnetic moment: 2.2 μB/cell.


No. 10
First-principles (PBE) data for an optimized crystal structure of PaTePb, as listed in Alexandria via LeMat-Bulk.

a b c (Å): 4.3790 4.3790 18.0142
angles (deg): 90.00 90.00 90.00
Closest atoms and distances in Å follow each position.
Space group I4/mmm (No. 139)
Asymmetric unit:
Pa1 0.0000 0.0000 0.1389 x4  5 Te 3.20, 4 Pb 3.33
Te1 0.0000 0.0000 0.3165 x4  5 Pa 3.20
Pb1 0.0000 0.5000 0.0000 x4  4 Pb 3.10, 4 Pa 3.33

Output
The distance to the lowest polymorph of the same formula is 0.00 kJ/mol of atoms. The calculation puts the density of states at the Fermi level at 19.5 states/eV per cell. As for the magnetic moment: 3.5 μB/cell.


No. 11
First-principles (PBE) data for an optimized crystal structure of PaTe2Pb, as listed in Alexandria via LeMat-Bulk.

a b c (Å): 3.8112 3.8112 7.9346
angles (deg): 90.00 90.00 90.00
Closest atoms and distances in Å follow each position.
Space group P4/mmm (No. 123)
Asymmetric unit:
Pa1 0.0000 0.0000 0.0000 x1  8 Te 3.19
Te1 0.5000 0.5000 0.2156 x2  4 Pa 3.19, 1 Te 3.42, 4 Pb 3.51
Pb1 0.0000 0.0000 0.5000 x1  8 Te 3.51, 4 Pb 3.81

Output
The calculation puts the density of states at the Fermi level at 5.6 states/eV per cell. As for the magnetic moment: 0.6 μB/cell. The uncorrected energy is -21.6 eV per formula unit.


No. 12
First-principles (PBE) data for an optimized crystal structure of PaTePb, as listed in Alexandria via LeMat-Bulk.

a b c (Å): 3.8568 3.8568 11.4984
angles (deg): 90.00 90.00 90.00
Closest atoms and distances in Å follow each position.
Space group I4mm (No. 107)
Asymmetric unit:
Pa1 0.0000 0.0000 0.0000 x2  4 Te 3.11, 4 Pb 3.44
Te1 0.0000 0.0000 0.3699 x2  4 Pa 3.11, 4 Pb 3.47
Pb1 0.0000 0.0000 0.6829 x2  5 Pa 3.44-3.65, 5 Te 3.47-3.60, 4 Pb 3.86

Output
The distance to the lowest polymorph of the same formula is 20.37 kJ/mol of atoms. The calculation puts the density of states at the Fermi level at 8.0 states/eV per cell. As for the magnetic moment: 0.3 μB/cell.


Question: Which formula does entry 3 have?
Answer: Pa2TcPb